# 1
VASP calculation (GGA-PBE) on crystalline PmGdHoGa at its relaxed geometry.

## Properties
**Space-group type**: F-43m, No. 216
**DFT formation energy**: -61 meV per atom
**Volume**: 109 Å³/f.u.
**E_tot**: -26.7 eV/cell

Cell lengths 5.3614, 5.3614, 5.3614 Å; angles 60.00, 60.00, 60.00 degrees
With the nearest neighbours (Å) after each atom.
Element x y z (fractional)
1 Pm 0.7500 0.7500 0.7500  4 Gd 3.28, 4 Ho 3.28
2 Ho 0.5000 0.5000 0.5000  4 Pm 3.28, 4 Ga 3.28
3 Gd 0.0000 0.0000 0.0000  4 Pm 3.28, 4 Ga 3.28
4 Ga 0.2500 0.2500 0.2500  4 Gd 3.28, 4 Ho 3.28


# 2
VASP calculation (GGA-PBE) on crystalline Ni2POs at its relaxed geometry.

## Properties
**Space-group type**: R-3m, No. 166
**DFT formation energy**: -12 meV per atom
**Volume**: 48 Å³/f.u.
**E_tot**: -28.3 eV/cell
**Relative energy among the computed polymorphs**: 83 meV/atom

Cell lengths 7.8720, 7.8720, 7.8720 Å; angles 19.68, 19.68, 19.68 degrees
With the nearest neighbours (Å) after each atom.
Element x y z (fractional)
1 P 0.0000 0.0000 0.0000  6 Ni 2.31
2 Os 0.5000 0.5000 0.5000  6 Ni 2.65, 6 Os 2.69
3 Ni 0.2596 0.2596 0.2596  3 P 2.31
4 Ni 0.7404 0.7404 0.7404  3 P 2.31


# 3
VASP calculation (GGA-PBE) on crystalline RbAsPd2I at its relaxed geometry.

## Properties
**Space-group type**: P4/mmm, No. 123
**Volume**: 149 Å³/f.u.
**E_tot**: -18.7 eV/cell
**Formation energy from raw total energies**: -0.22 eV/atom

Cell lengths 4.8122, 6.4379, 4.8122 Å; angles 90.00, 90.00, 90.00 degrees
With the nearest neighbours (Å) after each atom.
Element x y z (fractional)
1 Pd 0.0000 0.0000 0.5000  2 As 2.41
2 Pd 0.5000 0.0000 0.0000  2 As 2.41
3 As 0.0000 0.0000 0.0000  4 Pd 2.41
4 Rb 0.5000 0.5000 0.5000  4 I 3.40
5 I 0.0000 0.5000 0.0000  2 As 3.22, 4 Rb 3.40